No. 1
RbSrErCl6 PBE relaxed; energy relative to the elements, uncorrected = -2313 meV/atom
1.0
7.358 0.000 0.000
-3.679 6.372 0.000
0.000 0.000 13.946
Cl Er Rb Sr
12 2 2 2
direct
0.643 0.028 0.358
0.386 0.028 0.142
0.972 0.357 0.142
0.614 0.972 0.858
0.386 0.357 0.358
0.357 0.386 0.858
0.972 0.614 0.358
0.357 0.972 0.642
0.028 0.643 0.858
0.643 0.614 0.142
0.614 0.643 0.642
0.028 0.386 0.642
0.333 0.667 0.750
0.667 0.333 0.250
0.000 0.000 0.500
0.000 0.000 0.000
0.667 0.333 0.750
0.333 0.667 0.250

***

No. 2
Tb2ThNb PBE relaxed; E = -6.137 eV/atom
1.0
3.335 0.000 0.000
1.667 2.888 0.000
1.667 0.963 11.666
Th Tb Nb
1 2 1
direct
0.500 0.500 0.500
0.083 0.083 0.750
0.917 0.917 0.250
0.000 0.000 0.000

***

No. 3
CaLaAs2Br PBE relaxed; energy above the lowest structure with this stoichiometry = 5 meV per atom; energy relative to the elements, uncorrected = -579 meV/atom
1.0
5.641 0.000 0.000
0.000 5.641 0.000
0.000 0.000 5.732
Ca Br As La
1 1 2 1
direct
0.500 0.500 0.500
0.000 0.000 0.500
0.000 0.500 0.000
0.500 0.000 0.000
0.000 0.000 0.000